A plane-wave DFT calculation with PBE-GGA was carried out for a relaxed structure of GaRuCl2.

As for the crystal system: tetragonal. The value obtained for the calculated volume is 26.887 Å³ per atom. The energy relative to the elements, uncorrected comes out at 0.255 eV/atom. As for the excess energy over the best structure of this formula in the dataset: 0.86 eV per formula unit.

Cell: 5.8755 5.8755 12.4613 Å, 90.00 90.00 90.00°
Last column: nearest neighbours and their distance in Å.
Space group I-42d (No. 122)
Unique sites:
Ga 0.0000 0.0000 0.0000 x4  4 Cl 2.93
Ru 0.0000 0.0000 0.5000 x4  4 Cl 2.34
Cl 0.1595 0.2500 0.6250 x8  2 Ru 2.34